(1)
Below is an optimized crystal structure of SiPAuI, with properties calculated at the PBE-GGA level.

a b c (Å): 3.836 3.841 7.068
angles (deg): 89.76 88.85 73.95
Atoms (fractional coordinates):
P1 0.881 0.893 0.777
Si1 0.511 0.498 0.749
Au1 0.657 0.166 0.071
I1 0.387 0.649 0.350

Calculated values
The space group is P1, No. 1. Its density of states at the Fermi level is 0.6 states/eV/f.u. As for the formation energy (no corrections): 0.104 eV/atom. The calculation puts the final energy at -3.8109 eV per atom. The calculation puts the energy above the most stable polymorph in this dataset at 112 meV per atom. The value obtained for the calculated volume is 25.01 A^3/atom.

=====

(2)
Below is an optimized crystal structure of SiPAuI, with properties calculated at the PBE-GGA level.

a b c (Å): 4.146 4.151 7.188
angles (deg): 90.00 95.77 90.00
Atoms (fractional coordinates):
Au1 0.958 0.000 0.849
Si1 0.663 0.500 0.754
P1 0.244 0.500 0.934
I1 0.541 0.500 0.411

Calculated values
The space group is Pm, No. 6. Its density of states at the Fermi level is 1.5 states/eV/f.u. As for the formation energy (no corrections): -0.008 eV/atom. The calculation puts the final energy at -3.9229 eV per atom. The calculation puts the energy above the most stable polymorph in this dataset at 0 meV per atom. The value obtained for the calculated volume is 30.77 A^3/atom.

=====

(3)
Below is an optimized crystal structure of SiPAuI, with properties calculated at the PBE-GGA level.

a b c (Å): 3.729 3.833 7.289
angles (deg): 82.52 82.72 60.46
Atoms (fractional coordinates):
Au1 0.536 0.027 0.664
Si1 0.352 0.274 0.038
I1 0.627 0.495 0.348
P1 0.049 0.945 0.898

Calculated values
The space group is P1, No. 1. Its density of states at the Fermi level is 0.7 states/eV/f.u. As for the formation energy (no corrections): 0.159 eV/atom. The calculation puts the final energy at -3.7562 eV per atom. The calculation puts the energy above the most stable polymorph in this dataset at 167 meV per atom. The value obtained for the calculated volume is 22.41 A^3/atom.

=====

(4)
Below is an optimized crystal structure of SiPAuI, with properties calculated at the PBE-GGA level.

a b c (Å): 5.134 3.493 6.891
angles (deg): 90.00 102.37 90.00
Atoms (fractional coordinates):
Si1 0.817 0.500 0.235
I1 0.962 0.500 0.609
Au1 0.110 0.000 0.110
P1 0.574 0.000 0.098

Calculated values
The space group is Pm, No. 6. Its density of states at the Fermi level is 1.0 states/eV/f.u. As for the formation energy (no corrections): 0.073 eV/atom. The calculation puts the final energy at -3.8419 eV per atom. The calculation puts the energy above the most stable polymorph in this dataset at 81 meV per atom. The value obtained for the calculated volume is 30.18 A^3/atom.

=====

(5)
Below is an optimized crystal structure of SiPAuI, with properties calculated at the PBE-GGA level.

a b c (Å): 5.148 5.486 6.691
angles (deg): 90.00 90.00 90.00
Atoms (fractional coordinates):
I1 0.000 0.000 0.654
I2 0.500 0.500 0.154
P1 0.000 0.500 0.075
P2 0.500 0.000 0.575
Au1 0.000 0.000 0.144
Au2 0.500 0.500 0.644
Si1 0.500 0.000 0.220
Si2 0.000 0.500 0.720

Calculated values
The space group is Imm2, No. 44. Its density of states at the Fermi level is 1.9 states/eV/f.u. As for the formation energy (no corrections): 0.418 eV/atom. The calculation puts the final energy at -3.4968 eV per atom. The calculation puts the energy above the most stable polymorph in this dataset at 426 meV per atom. The value obtained for the calculated volume is 23.62 A^3/atom.

=====

(6)
Below is an optimized crystal structure of SiPAuI, with properties calculated at the PBE-GGA level.

a b c (Å): 3.656 3.652 8.487
angles (deg): 90.88 97.07 119.95
Atoms (fractional coordinates):
I1 0.587 0.939 0.368
P1 0.692 0.012 0.008
Au1 0.758 0.034 0.689
Si1 0.990 0.657 0.883

Calculated values
The space group is P1, No. 1. Its density of states at the Fermi level is 1.6 states/eV/f.u. As for the formation energy (no corrections): 0.113 eV/atom. The calculation puts the final energy at -3.8022 eV per atom. The calculation puts the energy above the most stable polymorph in this dataset at 121 meV per atom. The value obtained for the calculated volume is 24.26 A^3/atom.

=====

(7)
Below is an optimized crystal structure of Sr6PAu2I3, with properties calculated at the PBE-GGA level.

a b c (Å): 7.940 7.940 8.583
angles (deg): 98.93 98.93 120.09
Atoms (fractional coordinates):
Sr1 0.066 0.386 0.199
Sr2 0.934 0.614 0.801
Sr3 0.747 0.747 0.200
Sr4 0.614 0.934 0.801
Sr5 0.386 0.066 0.199
Sr6 0.253 0.253 0.800
I1 0.500 0.500 0.500
I2 0.166 0.834 0.500
I3 0.834 0.166 0.500
Au1 0.667 0.333 0.000
Au2 0.333 0.667 0.000
P1 0.000 0.000 0.000

Calculated values
The space group is C2/m, No. 12. Its density of states at the Fermi level is 9.3 states/eV/f.u. As for the formation energy (no corrections): -1.111 eV/atom. The calculation puts the final energy at -3.3367 eV per atom. The value obtained for the calculated volume is 37.09 A^3/atom.

=====

(8)
Below is an optimized crystal structure of TePAuI2, with properties calculated at the PBE-GGA level.

a b c (Å): 5.357 5.435 5.357
angles (deg): 90.00 90.00 90.00
Atoms (fractional coordinates):
I1 0.500 0.000 0.000
I2 0.000 0.000 0.500
Au1 0.500 0.500 0.500
Te1 0.000 0.500 0.000
P1 0.000 0.000 0.000

Calculated values
The space group is P4/mmm, No. 123. Its density of states at the Fermi level is 4.0 states/eV/f.u. As for the formation energy (no corrections): 0.625 eV/atom. The calculation puts the final energy at -2.3612 eV per atom. The calculation puts the energy above the most stable polymorph in this dataset at 0 meV per atom. The value obtained for the calculated volume is 31.19 A^3/atom.

=====

Q: Number 7 is which compound?
A: Sr6PAu2I3

=====

Q: What is the final energy in the second record?
A: -3.9229 eV per atom